[1]
Computed, not measured: a relaxed MgNpSi crystal at the GGA-PBE level of DFT.

Properties
- SG: F-43m, No. 216
- Final energy: -19.4 eV per formula unit

Cell lengths 4.658, 4.658, 4.658 Å; angles 60.00, 60.00, 60.00 degrees
Fractional positions:
Mg (0.250, 0.250, 0.250)
Np (0.750, 0.750, 0.750)
Si (0.000, 0.000, 0.000)



[2]
Computed, not measured: a relaxed ZrPaPO crystal at the GGA-PBE level of DFT.

Properties
- SG: Pmc2_1, No. 26
- Energy relative to the lowest polymorph listed for this composition: 192.8 meV per atom

Cell lengths 3.932, 5.992, 6.626 Å; angles 90.00, 90.00, 90.00 degrees
Fractional positions:
O (0.000, 0.940, 0.414)
O (0.000, 0.060, 0.914)
P (0.500, 0.438, 0.289)
P (0.500, 0.562, 0.789)
Pa (0.000, 0.703, 0.075)
Pa (0.000, 0.297, 0.575)
Zr (0.500, 0.823, 0.476)
Zr (0.500, 0.177, 0.976)



[3]
Computed, not measured: a relaxed NaTcPO crystal at the GGA-PBE level of DFT.

Properties
- SG: Pmc2_1, No. 26
- Energy relative to the lowest polymorph listed for this composition: 0.0 meV per atom

Cell lengths 3.045, 6.988, 5.793 Å; angles 90.00, 90.00, 90.00 degrees
Fractional positions:
Na (0.000, 0.089, 0.441)
Na (0.000, 0.911, 0.941)
O (0.500, 0.300, 0.351)
O (0.500, 0.700, 0.851)
P (0.000, 0.687, 0.357)
P (0.000, 0.313, 0.857)
Tc (0.500, 0.500, 0.106)
Tc (0.500, 0.500, 0.606)



[4]
Computed, not measured: a relaxed NaCuNi crystal at the GGA-PBE level of DFT.

Properties
- SG: F-43m, No. 216
- Energy relative to the lowest polymorph listed for this composition: 379.8 meV per atom

Cell lengths 4.200, 4.200, 4.200 Å; angles 60.00, 60.00, 60.00 degrees
Fractional positions:
Cu (0.250, 0.250, 0.250)
Na (0.000, 0.000, 0.000)
Ni (0.750, 0.750, 0.750)



[5]
Computed, not measured: a relaxed MgZn16O16 crystal at the GGA-PBE level of DFT.

Properties
- SG: P3m1, No. 156
- Final energy: -145.5 eV per formula unit

Cell lengths 6.599, 6.599, 10.639 Å; angles 90.00, 90.00, 60.01 degrees
Fractional positions:
Mg (0.500, 0.500, 0.117)
O (0.833, 0.833, 0.027)
O (0.342, 0.342, 0.033)
O (0.816, 0.342, 0.033)
O (0.342, 0.816, 0.033)
O (0.660, 0.181, 0.267)
O (0.181, 0.660, 0.267)
O (0.660, 0.660, 0.267)
O (0.167, 0.167, 0.312)
O (0.833, 0.833, 0.513)
O (0.825, 0.337, 0.529)
O (0.337, 0.825, 0.529)
O (0.337, 0.337, 0.529)
O (0.669, 0.669, 0.770)
O (0.669, 0.161, 0.770)
O (0.161, 0.669, 0.770)
O (0.167, 0.167, 0.784)
Zn (0.833, 0.833, 0.216)
Zn (0.314, 0.314, 0.233)
Zn (0.871, 0.314, 0.233)
Zn (0.314, 0.871, 0.233)
Zn (0.665, 0.171, 0.463)
Zn (0.171, 0.665, 0.463)
Zn (0.665, 0.665, 0.463)
Zn (0.167, 0.167, 0.500)
Zn (0.833, 0.833, 0.701)
Zn (0.833, 0.333, 0.718)
Zn (0.333, 0.833, 0.718)
Zn (0.333, 0.333, 0.718)
Zn (0.677, 0.677, 0.952)
Zn (0.677, 0.147, 0.952)
Zn (0.147, 0.677, 0.952)
Zn (0.167, 0.167, 0.973)



[6]
Computed, not measured: a relaxed NaSrMo crystal at the GGA-PBE level of DFT.

Properties
- SG: F-43m, No. 216
- Energy relative to the lowest polymorph listed for this composition: 201.2 meV per atom

Cell lengths 5.443, 5.443, 5.443 Å; angles 60.00, 60.00, 60.00 degrees
Fractional positions:
Mo (0.250, 0.250, 0.250)
Na (0.750, 0.750, 0.750)
Sr (0.000, 0.000, 0.000)



[7]
Computed, not measured: a relaxed PrNi2SnGe crystal at the GGA-PBE level of DFT.

Properties
- SG: P4/nmm, No. 129
- Final energy: -27.6 eV per formula unit

Cell lengths 4.297, 4.297, 10.073 Å; angles 90.00, 90.00, 90.00 degrees
Fractional positions:
Ge (0.000, 0.500, 0.117)
Ge (0.500, 0.000, 0.883)
Ni (0.000, 0.000, 0.000)
Ni (0.500, 0.500, 0.000)
Ni (0.000, 0.500, 0.353)
Ni (0.500, 0.000, 0.647)
Pr (0.500, 0.000, 0.229)
Pr (0.000, 0.500, 0.771)
Sn (0.000, 0.000, 0.500)
Sn (0.500, 0.500, 0.500)



[8]
Computed, not measured: a relaxed PtCl4 crystal at the GGA-PBE level of DFT.

Properties
- SG: C2/c, No. 15
- Final energy: -13.6 eV per formula unit

Cell lengths 6.726, 6.726, 10.157 Å; angles 110.65, 110.65, 46.12 degrees
Fractional positions:
Cl (0.334, 0.390, 0.074)
Cl (0.223, 0.078, 0.217)
Cl (0.922, 0.777, 0.283)
Cl (0.610, 0.666, 0.426)
Cl (0.390, 0.334, 0.574)
Cl (0.078, 0.223, 0.717)
Cl (0.777, 0.922, 0.783)
Cl (0.666, 0.610, 0.926)
Pt (0.261, 0.739, 0.250)
Pt (0.739, 0.261, 0.750)